[1]
DFT (PBE) results for crystalline Li2NbSe3 at its relaxed geometry.

Cell and atoms, written as extended XYZ:
```
24
Lattice="6.5143 0.1495 -1.2390 -2.3820 6.0650 -1.2390 -0.1009 -0.1517 11.9286" Properties=species:S:1:pos:R:3 pbc="T T T"
Li -1.1819 3.0462 -0.5699
Li 1.6110 2.4227 8.7626
Li 4.5941 2.0853 6.6523
Li 0.9735 1.4641 5.2953
Li 3.0579 4.5987 4.1554
Li 3.8855 1.0197 2.7983
Li 2.4204 3.6401 0.6881
Li 0.7651 5.9744 10.0206
Nb 3.7638 5.6603 7.9949
Nb 0.0592 4.9128 6.1811
Nb -0.4760 4.1078 3.2695
Nb 0.2676 0.4025 1.4558
Se -0.6672 4.0410 8.7978
Se 3.9103 0.8363 8.8423
Se 0.3579 0.3176 7.8560
Se 2.2947 3.6717 6.5726
Se 5.2328 3.0459 4.1298
Se 3.2468 0.0591 5.3208
Se 1.5332 2.5264 2.8780
Se 3.8770 5.6099 1.5946
Se 4.7728 2.1334 0.6083
Se 0.0469 5.1149 0.6528
Se 1.0731 1.6139 -0.6435
Se 3.0592 4.6006 -1.8344
```

Calculated values
Formation energy from raw total energies (eV/atom): -0.98


[2]
DFT (PBE) results for crystalline ZrZnInCo at its relaxed geometry.

Cell and atoms, written as extended XYZ:
```
4
Lattice="4.5444 0.0000 0.0000 2.2722 3.9355 0.0000 2.2722 1.3118 3.7105" Properties=species:S:1:pos:R:3 pbc="T T T"
Zn 0.0000 0.0000 0.0000
Co 4.5444 2.6237 1.8552
Zr 6.8165 3.9355 2.7828
In 2.2722 1.3118 0.9276
```

Calculated values
Formation energy from the elements (eV/atom): -0.19


[3]
DFT (PBE) results for crystalline BeCSe2 at its relaxed geometry.

Cell and atoms, written as extended XYZ:
```
8
Lattice="-4.2268 -1.1649 2.5051 2.7354 -1.1227 4.0933 -1.1647 4.0301 4.9982" Properties=species:S:1:pos:R:3 pbc="T T T"
Be -0.7457 -1.1438 3.2992
Be 0.4125 0.8818 6.1954
C 0.0000 0.0000 0.0000
C -3.0686 0.8607 5.4012
Se -2.5992 0.1368 3.3318
Se 0.8983 0.1625 4.1162
Se -1.4381 2.1669 6.2151
Se -2.1732 1.0187 9.5302
```

Calculated values
ΔE to the lowest computed polymorph (kcal/mol of atoms): 0.000
Formation energy from raw total energies (eV/atom): 0.73


[4]
DFT (PBE) results for crystalline PmTePt at its relaxed geometry.

Cell and atoms, written as extended XYZ:
```
3
Lattice="-1.3176 2.1442 4.1276 -2.0390 -2.5985 3.5300 2.4490 -0.8856 4.0729" Properties=species:S:1:pos:R:3 pbc="T T T"
Te 0.0000 0.0000 0.0000
Pt -0.2269 -0.3350 2.9326
Pm -0.4538 -0.6700 5.8653
```

Calculated values
ΔE to the lowest computed polymorph (kcal/mol of atoms): 2.004
Formation energy from raw total energies (eV/atom): -0.98


[5]
DFT (PBE) results for crystalline AcHF4 at its relaxed geometry.

Cell and atoms, written as extended XYZ:
```
12
Lattice="4.0318 0.0000 -0.5858 0.0000 7.4218 0.0000 -0.7010 0.0000 6.6276" Properties=species:S:1:pos:R:3 pbc="T T T"
Ac 0.6230 5.5664 2.9117
Ac 2.7077 1.8555 3.1301
H 3.2375 5.5664 5.5058
H 0.0932 1.8555 0.5360
F 0.2636 5.5664 0.4730
F 3.0671 1.8555 5.5688
F 2.8886 5.5664 4.3185
F 0.4421 1.8555 1.7233
F 0.7801 0.4073 4.0209
F 2.5507 4.1182 2.0210
F 0.7801 3.3036 4.0209
F 2.5507 7.0145 2.0210
```

Calculated values
ΔE to the lowest computed polymorph (kcal/mol of atoms): 0.000


[6]
DFT (PBE) results for crystalline ReAu2Se at its relaxed geometry.

Cell and atoms, written as extended XYZ:
```
4
Lattice="-0.2478 1.4298 -5.3399 3.0802 -2.6066 -3.7865 -3.4242 -1.2173 4.1729" Properties=species:S:1:pos:R:3 pbc="T T T"
Au 0.0000 0.0000 0.0000
Au 1.4162 -0.5884 -4.5632
Re 0.5361 -2.2062 -2.0884
Se -1.1279 -0.1880 -2.8651
```

Calculated values
Formation energy from raw total energies (eV/atom): 0.89


[7]
DFT (PBE) results for crystalline Ca5C3 at its relaxed geometry.

Cell and atoms, written as extended XYZ:
```
16
Lattice="-5.2860 0.2823 -5.2610 2.4290 -6.5996 2.4990 -4.5644 0.0578 4.5892" Properties=species:S:1:pos:R:3 pbc="T T T"
Ca -0.1426 -4.3056 -0.0877
Ca -4.9965 -1.9828 -0.3797
Ca -2.7143 -2.0117 -2.6743
Ca -2.4248 -4.2767 2.2069
Ca -2.5963 0.0921 -0.3010
Ca -7.2541 0.2479 -0.3708
Ca -0.4724 -1.8024 1.8353
Ca -3.2116 -4.5637 -0.8544
Ca -4.2099 -1.6957 2.6814
Ca -1.6630 -4.7394 5.2529
C -4.4000 0.1885 -2.0962
C -5.4504 0.1516 1.4243
C 0.3564 -4.0543 2.6880
C -2.2367 -2.4081 0.0881
C -5.1847 -3.8514 1.7390
C -2.4918 -2.4875 4.4002
```

Calculated values
ΔE to the lowest computed polymorph (kcal/mol of atoms): 0.000
Formation energy from the elements (eV/atom): 0.55


[8]
DFT (PBE) results for crystalline ScTlAg2 at its relaxed geometry.

Cell and atoms, written as extended XYZ:
```
4
Lattice="-4.2610 1.6281 1.6677 -2.2963 -3.4548 -2.5257 3.5192 -1.2139 3.1192" Properties=species:S:1:pos:R:3 pbc="T T T"
Sc -3.2786 -0.9133 -0.4290
Tl -1.0282 -2.7911 0.0822
Ag -6.5572 -1.8266 -0.8580
Ag -2.0101 -0.2495 2.1789
```

Calculated values
Formation energy from the elements (eV/atom): -0.14


[9]
DFT (PBE) results for crystalline AcSmAsPt at its relaxed geometry.

Cell and atoms, written as extended XYZ:
```
4
Lattice="5.2716 0.0000 0.0000 2.6358 4.5654 0.0000 2.6358 1.5218 4.3043" Properties=species:S:1:pos:R:3 pbc="T T T"
As 7.9075 4.5654 3.2282
Ac 0.0000 0.0000 0.0000
Sm 5.2716 3.0436 2.1521
Pt 2.6358 1.5218 1.0761
```

Calculated values
Formation energy from the elements (eV/atom): -0.97


[10]
DFT (PBE) results for crystalline MnCdPt2 at its relaxed geometry.

Cell and atoms, written as extended XYZ:
```
4
Lattice="-0.4260 -2.7632 -0.6965 2.8030 -0.5332 0.4009 -1.4198 -1.7100 7.6525" Properties=species:S:1:pos:R:3 pbc="T T T"
Cd -0.7070 -0.8514 3.8104
Mn 0.0912 -2.9697 5.7662
Pt -1.4023 -1.6889 7.5583
Pt 0.8455 -2.0612 1.7007
```

Calculated values
Formation energy from the elements (eV/atom): -0.12


[11]
DFT (PBE) results for crystalline LiHfInO2 at its relaxed geometry.

Cell and atoms, written as extended XYZ:
```
5
Lattice="-0.9029 4.0469 0.2690 -3.8962 -1.0434 2.6199 2.2628 0.2739 3.4742" Properties=species:S:1:pos:R:3 pbc="T T T"
Li -1.9481 -0.5217 1.3099
Hf -1.2681 1.6387 3.1815
O 1.1314 0.1369 1.7371
O -0.4514 2.0235 0.1345
In 0.0000 0.0000 0.0000
```

Calculated values
Formation energy from raw total energies (eV/atom): 0.10


Please write out number 10 again, unchanged.
DFT (PBE) results for crystalline MnCdPt2 at its relaxed geometry.

Cell and atoms, written as extended XYZ:
```
4
Lattice="-0.4260 -2.7632 -0.6965 2.8030 -0.5332 0.4009 -1.4198 -1.7100 7.6525" Properties=species:S:1:pos:R:3 pbc="T T T"
Cd -0.7070 -0.8514 3.8104
Mn 0.0912 -2.9697 5.7662
Pt -1.4023 -1.6889 7.5583
Pt 0.8455 -2.0612 1.7007
```

Calculated values
Formation energy from the elements (eV/atom): -0.12


Question: What is the formula in the seventh record?
Answer: Ca5C3